Record 1
Computed, not measured: an optimized crystal structure of LaPm3PrHo at the PBE level of DFT.

Properties
The calculation puts the energy of formation at 0.02 eV per atom. Its symmetry is P2_1/m.

Lattice parameters (Å, degrees): 8.1649 5.1895 10.3382 90.00 108.41 90.00
Last column: nearest neighbours and their distance in Å.
Atoms (fractional coordinates):
1 La 0.1658 0.2500 0.2893  8 Pm 3.64-3.70, 3 Pr 3.67-3.70, 1 Ho 3.69
2 La 0.8342 0.7500 0.7107  8 Pm 3.64-3.70, 3 Pr 3.67-3.70, 1 Ho 3.69
3 Pm 0.1670 0.7500 0.5442  1 Ho 3.65, 3 La 3.65-3.70, 3 Pr 3.66-3.69, 5 Pm 3.66-3.71
4 Pm 0.1699 0.2500 0.7942  3 Ho 3.61-3.63, 1 Pr 3.62, 6 Pm 3.63-3.71, 2 La 3.67
5 Pm 0.1707 0.7500 0.0402  3 Ho 3.57-3.65, 1 Pr 3.63, 5 Pm 3.63-3.71, 3 La 3.64-3.67
6 Pm 0.8293 0.2500 0.9598  3 Ho 3.57-3.65, 1 Pr 3.63, 5 Pm 3.63-3.71, 3 La 3.64-3.67
7 Pm 0.8301 0.7500 0.2058  3 Ho 3.61-3.63, 1 Pr 3.62, 6 Pm 3.63-3.71, 2 La 3.67
8 Pm 0.8330 0.2500 0.4558  1 Ho 3.65, 3 La 3.65-3.70, 3 Pr 3.66-3.69, 5 Pm 3.66-3.71
9 Pr 0.4994 0.2500 0.6280  5 Pm 3.62-3.69, 2 Ho 3.67, 3 La 3.67-3.70, 2 Pr 3.71
10 Pr 0.5006 0.7500 0.3720  5 Pm 3.62-3.69, 2 Ho 3.67, 3 La 3.67-3.70, 2 Pr 3.71
11 Ho 0.4970 0.7500 0.8781  7 Pm 3.57-3.65, 2 Ho 3.61, 2 Pr 3.67, 1 La 3.69
12 Ho 0.5030 0.2500 0.1219  7 Pm 3.57-3.65, 2 Ho 3.61, 2 Pr 3.67, 1 La 3.69



Record 2
Computed, not measured: an optimized crystal structure of La2PmPr2Ho at the PBE level of DFT.

Properties
The calculation puts the energy of formation at 0.05 eV per atom. Its symmetry is Pmma.

Lattice parameters (Å, degrees): 7.1680 5.8201 10.1072 90.00 90.00 90.00
Last column: nearest neighbours and their distance in Å.
Atoms (fractional coordinates):
1 La 0.0000 0.0000 0.0000  6 La 3.58-3.84, 6 Pr 3.80, 2 Ho 3.86
2 La 0.2500 0.5000 0.1724  5 Pr 3.33-3.58
3 La 0.5000 0.0000 0.0000  6 La 3.58-3.84, 6 Pr 3.80, 2 Ho 3.86
4 La 0.7500 0.5000 0.8276  5 Pr 3.33-3.58
5 Pm 0.0000 0.5000 0.5000  2 Pm 3.58, 2 La 3.76, 4 Ho 3.79, 6 Pr 3.82-3.83
6 Pm 0.5000 0.5000 0.5000  2 Pm 3.58, 2 La 3.76, 4 Ho 3.79, 6 Pr 3.82-3.83
7 Pr 0.2500 0.0000 0.3316  2 La 3.33, 3 Ho 3.33-3.58
8 Pr 0.2500 0.5000 0.8349  2 Ho 3.40, 7 La 3.41-3.80
9 Pr 0.7500 0.0000 0.6684  2 La 3.33, 3 Ho 3.33-3.58
10 Pr 0.7500 0.5000 0.1651  2 Ho 3.40, 7 La 3.41-3.80
11 Ho 0.2500 0.0000 0.6614  5 Pr 3.33-3.58
12 Ho 0.7500 0.0000 0.3386  5 Pr 3.33-3.58



Record 3
Computed, not measured: an optimized crystal structure of LaPmPr5Ho2 at the PBE level of DFT.

Properties
The calculation puts the energy of formation at 0.14 eV per atom. Its symmetry is Cmc2_1.

Lattice parameters (Å, degrees): 10.6985 10.6985 10.7500 90.00 90.00 148.65
Last column: nearest neighbours and their distance in Å.
Atoms (fractional coordinates):
1 La 0.0844 0.9156 0.5000  5 Pr 3.14-3.40
2 La 0.9156 0.0844 0.0000  5 Pr 3.14-3.40
3 Pm 0.3009 0.6991 0.0636  2 Ho 3.47-3.76, 7 Pr 3.56-3.85, 2 La 3.80
4 Pm 0.6991 0.3009 0.5636  2 Ho 3.47-3.76, 7 Pr 3.56-3.85, 2 La 3.80
5 Pr 0.0231 0.9769 0.7934  2 La 3.14-3.40
6 Pr 0.1114 0.8886 0.0796  6 Pr 3.57-3.98, 4 Ho 3.63-3.65, 1 Pm 3.91
7 Pr 0.2052 0.7948 0.7564  3 Pr 3.48-3.77, 3 Pm 3.56-3.85, 3 Ho 3.65-3.77, 1 La 3.71
8 Pr 0.2195 0.7805 0.3650  1 La 3.14, 1 Ho 3.37, 2 Pr 3.48
9 Pr 0.4838 0.5162 0.0773  2 La 3.32, 3 Ho 3.48-3.71, 2 Pr 3.71
10 Pr 0.5162 0.4838 0.5773  2 La 3.32, 3 Ho 3.48-3.71, 2 Pr 3.71
11 Pr 0.7805 0.2195 0.8650  1 La 3.14, 1 Ho 3.37, 2 Pr 3.48
12 Pr 0.7948 0.2052 0.2564  3 Pr 3.48-3.77, 3 Pm 3.56-3.85, 3 Ho 3.65-3.77, 1 La 3.71
13 Pr 0.8886 0.1114 0.5796  6 Pr 3.57-3.98, 4 Ho 3.63-3.65, 1 Pm 3.91
14 Pr 0.9769 0.0231 0.2934  2 La 3.14-3.40
15 Ho 0.3828 0.6172 0.3758  8 Pr 3.37-3.65, 1 Pm 3.76
16 Ho 0.3873 0.6127 0.7862  1 Pm 3.47, 7 Pr 3.48-3.77, 2 La 3.74
17 Ho 0.6127 0.3873 0.2862  1 Pm 3.47, 7 Pr 3.48-3.77, 2 La 3.74
18 Ho 0.6172 0.3828 0.8758  8 Pr 3.37-3.65, 1 Pm 3.76



Record 4
Computed, not measured: an optimized crystal structure of LaPm2Pr2Ho at the PBE level of DFT.

Properties
The calculation puts the energy of formation at 0.05 eV per atom. Its symmetry is Pmc2_1.

Lattice parameters (Å, degrees): 5.8096 10.0459 7.1594 90.00 90.00 90.00
Last column: nearest neighbours and their distance in Å.
Atoms (fractional coordinates):
1 La 0.0000 0.9998 0.0000  2 La 3.58, 2 Pr 3.77, 4 Ho 3.79, 6 Pm 3.81
2 La 0.0000 0.0002 0.5000  2 La 3.58, 2 Pr 3.77, 4 Ho 3.79, 6 Pm 3.81
3 Pm 0.0000 0.3346 0.2500  3 Pr 3.37-3.58, 2 Ho 3.37
4 Pm 0.0000 0.6654 0.7500  3 Pr 3.37-3.58, 2 Ho 3.37
5 Pm 0.5000 0.1686 0.7501  2 Pr 3.33, 3 Ho 3.35-3.58
6 Pm 0.5000 0.8314 0.2501  2 Pr 3.33, 3 Ho 3.35-3.58
7 Pr 0.0000 0.3303 0.7503  5 Pm 3.33-3.58
8 Pr 0.0000 0.6697 0.2503  5 Pm 3.33-3.58
9 Pr 0.5000 0.5003 0.0001  6 Pr 3.58-3.81, 6 Pm 3.78-3.80, 2 Ho 3.81
10 Pr 0.5000 0.4997 0.5001  6 Pr 3.58-3.81, 6 Pm 3.78-3.80, 2 Ho 3.81
11 Ho 0.5000 0.1651 0.2498  5 Pm 3.35-3.58
12 Ho 0.5000 0.8349 0.7498  5 Pm 3.35-3.58



Record 5
Computed, not measured: an optimized crystal structure of LaPm2PrHo2 at the PBE level of DFT.

Properties
The calculation puts the energy of formation at 0.16 eV per atom. Its symmetry is Pnnm.

Lattice parameters (Å, degrees): 7.0746 16.4014 3.5813 90.00 90.00 90.00
Last column: nearest neighbours and their distance in Å.
Atoms (fractional coordinates):
1 La 0.0000 0.0000 0.0000  2 Pr 3.54, 2 La 3.58, 4 Ho 3.59, 4 Pm 3.65
2 La 0.5000 0.5000 0.5000  2 Pr 3.54, 2 La 3.58, 4 Ho 3.59, 4 Pm 3.65
3 Pm 0.2489 0.3394 0.0000  4 Ho 3.50-3.55, 2 Pm 3.58, 2 Pr 3.64, 2 La 3.65
4 Pm 0.2511 0.8394 0.5000  4 Ho 3.50-3.55, 2 Pm 3.58, 2 Pr 3.64, 2 La 3.65
5 Pm 0.7489 0.1606 0.5000  4 Ho 3.50-3.55, 2 Pm 3.58, 2 Pr 3.64, 2 La 3.65
6 Pm 0.7511 0.6606 0.0000  4 Ho 3.50-3.55, 2 Pm 3.58, 2 Pr 3.64, 2 La 3.65
7 Pr 0.0000 0.5000 0.5000  2 La 3.54, 2 Pr 3.58, 4 Ho 3.59, 4 Pm 3.64
8 Pr 0.5000 0.0000 0.0000  2 La 3.54, 2 Pr 3.58, 4 Ho 3.59, 4 Pm 3.64
9 Ho 0.2499 0.1560 0.5000  4 Pm 3.50-3.55, 2 Ho 3.58, 2 La 3.59, 2 Pr 3.59
10 Ho 0.2501 0.6560 0.0000  4 Pm 3.50-3.55, 2 Ho 3.58, 2 La 3.59, 2 Pr 3.59
11 Ho 0.7499 0.3440 0.0000  4 Pm 3.50-3.55, 2 Ho 3.58, 2 La 3.59, 2 Pr 3.59
12 Ho 0.7501 0.8440 0.5000  4 Pm 3.50-3.55, 2 Ho 3.58, 2 La 3.59, 2 Pr 3.59



Record 6
Computed, not measured: an optimized crystal structure of La5PmPrHo2 at the PBE level of DFT.

Properties
The calculation puts the energy of formation at 0.14 eV per atom. Its symmetry is Cmc2_1.

Lattice parameters (Å, degrees): 10.8287 10.8287 10.7224 90.00 90.00 148.92
Last column: nearest neighbours and their distance in Å.
Atoms (fractional coordinates):
1 La 0.0156 0.9844 0.5000  2 Pr 3.36, 3 Ho 3.49-3.68
2 La 0.2787 0.7213 0.2007  1 Pr 3.11, 1 Ho 3.39
3 La 0.2954 0.7046 0.8113  4 La 3.49-3.90, 3 Pm 3.57-3.88, 3 Ho 3.63-3.77, 1 Pr 3.64
4 La 0.3864 0.6136 0.4936  6 La 3.59-3.96, 4 Ho 3.65-3.68, 1 Pm 3.95
5 La 0.4802 0.5198 0.7743  2 Pr 3.19-3.45
6 La 0.5198 0.4802 0.2743  2 Pr 3.19-3.45
7 La 0.6136 0.3864 0.9936  6 La 3.59-3.96, 4 Ho 3.65-3.68, 1 Pm 3.95
8 La 0.7046 0.2954 0.3113  4 La 3.49-3.90, 3 Pm 3.57-3.88, 3 Ho 3.63-3.77, 1 Pr 3.64
9 La 0.7213 0.2787 0.7007  1 Pr 3.11, 1 Ho 3.39
10 La 0.9844 0.0156 0.0000  2 Pr 3.36, 3 Ho 3.49-3.68
11 Pm 0.1973 0.8027 0.5041  2 Ho 3.45-3.67, 6 La 3.57-3.79, 2 Pr 3.73
12 Pm 0.8027 0.1973 0.0041  2 Ho 3.45-3.67, 6 La 3.57-3.79, 2 Pr 3.73
13 Pr 0.4109 0.5891 0.0659  5 La 3.11-3.45
14 Pr 0.5891 0.4109 0.5659  5 La 3.11-3.45
15 Ho 0.1152 0.8848 0.7829  1 Pm 3.45, 7 La 3.59-3.77, 2 Pr 3.76
16 Ho 0.1164 0.8836 0.2005  8 La 3.39-3.65, 1 Pm 3.67
17 Ho 0.8836 0.1164 0.7005  8 La 3.39-3.65, 1 Pm 3.67
18 Ho 0.8848 0.1152 0.2829  1 Pm 3.45, 7 La 3.59-3.77, 2 Pr 3.76



Record 7
Computed, not measured: an optimized crystal structure of La2Pm2Pr4Ho at the PBE level of DFT.

Properties
The calculation puts the energy of formation at 0.01 eV per atom. Its symmetry is C2/m.

Lattice parameters (Å, degrees): 9.8143 9.8143 9.8911 115.03 115.03 21.86
Last column: nearest neighbours and their distance in Å.
Atoms (fractional coordinates):
1 La 0.1650 0.1650 0.4987  3 Pr 3.63-3.66, 3 Pm 3.65-3.69, 2 Ho 3.69, 4 La 3.72-3.76
2 La 0.8350 0.8350 0.5013  3 Pr 3.63-3.66, 3 Pm 3.65-3.69, 2 Ho 3.69, 4 La 3.72-3.76
3 Pm 0.3523 0.3523 0.8321  3 La 3.65-3.69, 7 Pr 3.69-3.72, 2 Pm 3.72
4 Pm 0.6477 0.6477 0.1679  3 La 3.65-3.69, 7 Pr 3.69-3.72, 2 Pm 3.72
5 Pr 0.0182 0.0182 0.8308  1 La 3.63, 2 Ho 3.65, 4 Pm 3.69-3.70, 5 Pr 3.71-3.72
6 Pr 0.3147 0.3147 0.1675  2 La 3.66, 1 Ho 3.67, 6 Pr 3.68-3.72, 3 Pm 3.69-3.72
7 Pr 0.6853 0.6853 0.8325  2 La 3.66, 1 Ho 3.67, 6 Pr 3.68-3.72, 3 Pm 3.69-3.72
8 Pr 0.9818 0.9818 0.1692  1 La 3.63, 2 Ho 3.65, 4 Pm 3.69-3.70, 5 Pr 3.71-3.72
9 Ho 0.5000 0.5000 0.5000  6 Pr 3.65-3.67, 4 La 3.69, 2 Ho 3.72



Record 8
Computed, not measured: an optimized crystal structure of LaPmHoPu at the PBE level of DFT.

Properties
The calculation puts the energy of formation at 0.21 eV per atom. Its symmetry is F-43m.

Lattice parameters (Å, degrees): 5.6933 5.6933 5.6933 60.00 60.00 60.00
Last column: nearest neighbours and their distance in Å.
Atoms (fractional coordinates):
1 La 0.0000 0.0000 0.0000  4 Pu 3.49, 4 Ho 3.49
2 Pm 0.5000 0.5000 0.5000  4 Ho 3.49, 4 Pu 3.49
3 Ho 0.2500 0.2500 0.2500  4 La 3.49, 4 Pm 3.49
4 Pu 0.7500 0.7500 0.7500  4 Pm 3.49, 4 La 3.49



Record 9
Computed, not measured: an optimized crystal structure of LaPmHoS3 at the PBE level of DFT.

Properties
As for the total DFT energy (no corrections): -0.231 Ha/atom. Its symmetry is P2_1/m.

Lattice parameters (Å, degrees): 7.6616 3.9950 10.1804 90.00 101.38 90.00
Last column: nearest neighbours and their distance in Å.
Atoms (fractional coordinates):
1 La 0.1785 0.2500 0.2032  7 S 2.92-3.14
2 La 0.8215 0.7500 0.7968  7 S 2.92-3.14
3 Pm 0.1926 0.2500 0.6200  5 S 2.81-3.00
4 Pm 0.8074 0.7500 0.3800  5 S 2.81-3.00
5 Ho 0.3356 0.7500 0.9064  5 S 2.69-2.75
6 Ho 0.6644 0.2500 0.0936  5 S 2.69-2.75
7 S 0.0973 0.2500 0.8884  2 Ho 2.69, 2 La 2.92, 1 Pm 2.96
8 S 0.1881 0.7500 0.4252  3 Pm 2.81-2.86, 2 La 3.01
9 S 0.4657 0.7500 0.1769  3 Ho 2.74-2.75, 1 Pm 3.00, 2 La 3.02
10 S 0.5343 0.2500 0.8231  3 Ho 2.74-2.75, 1 Pm 3.00, 2 La 3.02
11 S 0.8119 0.2500 0.5748  3 Pm 2.81-2.86, 2 La 3.01
12 S 0.9027 0.7500 0.1116  2 Ho 2.69, 2 La 2.92, 1 Pm 2.96



Record 10
Computed, not measured: an optimized crystal structure of LaPm4Ho3S8 at the PBE level of DFT.

Properties
As for the total DFT energy (no corrections): -0.237 Ha/atom. Its symmetry is R-3m.

Lattice parameters (Å, degrees): 8.0068 8.0068 8.0068 59.77 59.77 59.77
Last column: nearest neighbours and their distance in Å.
Atoms (fractional coordinates):
1 La 0.0000 0.0000 0.0000  6 S 2.85
2 Pm 0.0000 0.0000 0.5000  6 S 2.88-2.89
3 Pm 0.0000 0.5000 0.0000  6 S 2.88-2.89
4 Pm 0.5000 0.0000 0.0000  6 S 2.88-2.89
5 Pm 0.5000 0.5000 0.5000  6 S 2.80
6 Ho 0.0000 0.5000 0.5000  6 S 2.77
7 Ho 0.5000 0.0000 0.5000  6 S 2.77
8 Ho 0.5000 0.5000 0.0000  6 S 2.77
9 S 0.2524 0.2524 0.7371  2 Ho 2.77, 3 Pm 2.80-2.89, 1 La 2.85
10 S 0.2524 0.7371 0.2524  2 Ho 2.77, 3 Pm 2.80-2.89, 1 La 2.85
11 S 0.2550 0.2550 0.2550  3 Ho 2.77, 3 Pm 2.88
12 S 0.2629 0.7476 0.7476  2 Ho 2.77, 3 Pm 2.80-2.89, 1 La 2.85
13 S 0.7371 0.2524 0.2524  2 Ho 2.77, 3 Pm 2.80-2.89, 1 La 2.85
14 S 0.7450 0.7450 0.7450  3 Ho 2.77, 3 Pm 2.88
15 S 0.7476 0.2629 0.7476  2 Ho 2.77, 3 Pm 2.80-2.89, 1 La 2.85
16 S 0.7476 0.7476 0.2629  2 Ho 2.77, 3 Pm 2.80-2.89, 1 La 2.85